The following is a DFT calculation (PBE) of a relaxed structure of PmGa4Rh2.

abc: 17.224 4.361 6.557
angles: 90.00 90.00 90.00
Positions (direct):
Pm: 0.139 0.250 0.010
Pm: 0.361 0.750 0.510
Pm: 0.639 0.250 0.490
Pm: 0.861 0.750 0.990
Ga: 0.034 0.750 0.163
Ga: 0.067 0.250 0.509
Ga: 0.187 0.750 0.306
Ga: 0.190 0.750 0.714
Ga: 0.310 0.250 0.214
Ga: 0.313 0.250 0.806
Ga: 0.433 0.750 0.009
Ga: 0.466 0.250 0.663
Ga: 0.534 0.750 0.337
Ga: 0.567 0.250 0.991
Ga: 0.687 0.750 0.194
Ga: 0.690 0.750 0.786
Ga: 0.810 0.250 0.286
Ga: 0.813 0.250 0.694
Ga: 0.933 0.750 0.491
Ga: 0.966 0.250 0.837
Rh: 0.039 0.750 0.757
Rh: 0.212 0.250 0.511
Rh: 0.288 0.750 0.011
Rh: 0.461 0.250 0.257
Rh: 0.539 0.750 0.743
Rh: 0.712 0.250 0.989
Rh: 0.788 0.750 0.489
Rh: 0.961 0.250 0.243

Properties
Energy of formation from the pure elements, eV/atom: -0.69
Energy above the most stable polymorph in this dataset, meV/atom: 0
Magnetic moment, μB per cell: 0.0
Crystal system: orthorhombic
V, Å³ per atom: 17.59
Symmetry: Pnma, No. 62